1.
A relaxed structure of CoCu2P2, computed with GGA-PBE.

It has space group P4/mbm (No. 127), with a = 5.632 Å, b = 5.632 Å, c = 4.146 Å, α = 90.00°, β = 90.00° and γ = 90.00°. The distinct sites, in fractional coordinates, are Co at (0.000, 0.000, 0.000), Cu at (0.241, 0.259, 0.500) and P at (0.137, 0.637, 0.000).

The total magnetization is 0.0 Bohr magnetons per cell. Its formation enthalpy at 0 K is -0.7 eV per formula unit.

***

2.
A relaxed structure of Co2CuP, computed with GGA-PBE.

It has space group C2/m (No. 12), with a = 7.216 Å, b = 2.655 Å, c = 4.831 Å, α = 90.00°, β = 100.94° and γ = 90.00°. The distinct sites, in fractional coordinates, are Co at (0.240, 0.000, 0.217), Cu at (0.000, 0.000, 0.500) and P at (0.000, 0.500, 0.000).

The total magnetization is 2.5 Bohr magnetons per cell. The value obtained for the energy relative to the lowest polymorph listed for this composition is 115 meV/atom. Its formation enthalpy at 0 K is -0.1 eV per formula unit.

***

3.
A relaxed structure of Co2CuP2, computed with GGA-PBE.

It has space group P4/mbm (No. 127), with a = 6.539 Å, b = 6.539 Å, c = 2.688 Å, α = 90.00°, β = 90.00° and γ = 90.00°. The distinct sites, in fractional coordinates, are Co at (0.140, 0.360, 0.000), Cu at (0.000, 0.000, 0.500) and P at (0.154, 0.654, 0.500).

The total magnetization is 0.0 Bohr magnetons per cell. The value obtained for the energy relative to the lowest polymorph listed for this composition is 40 meV/atom. Its formation enthalpy at 0 K is -0.8 eV per formula unit.